# Hg2IrPb

An optimized crystal structure of Hg2IrPb (PBEsol, Alexandria).

* crystal system: tetragonal
* energy relative to the elements: 9.6 kcal/mol of atoms

Lattice parameters (Å, degrees): 4.217 4.217 8.986 90.00 90.00 90.00
Atoms (fractional coordinates):
Hg: 0.000 0.500 0.250
Hg: 0.000 0.500 0.750
Hg: 0.500 0.000 0.250
Hg: 0.500 0.000 0.750
Ir: 0.000 0.000 0.000
Ir: 0.500 0.500 0.500
Pb: 0.000 0.000 0.500
Pb: 0.500 0.500 0.000